First-principles (PBE-GGA) data for a geometry-optimized YNb2Zn structure, as listed in OQMD.

Cell lengths 4.808, 4.808, 4.808 Å; angles 60.00, 60.00, 60.00 degrees
Fractional coordinates of all 4 atoms:
Nb (0.000, 0.000, 0.000)
Nb (0.750, 0.750, 0.750)
Y (0.250, 0.250, 0.250)
Zn (0.500, 0.500, 0.500)

Output
formation energy = 0.171 eV/atom
space group = F-43m (216)

=====

First-principles (PBE-GGA) data for a geometry-optimized YNbZn2 structure, as listed in OQMD.

Cell lengths 4.833, 4.833, 4.833 Å; angles 60.00, 60.00, 60.00 degrees
Fractional coordinates of all 4 atoms:
Nb (0.500, 0.500, 0.500)
Y (0.750, 0.750, 0.750)
Zn (0.000, 0.000, 0.000)
Zn (0.250, 0.250, 0.250)

Output
formation energy = 0.360 eV/atom
space group = F-43m (216)

=====

First-principles (PBE-GGA) data for a geometry-optimized Y2NbZn structure, as listed in OQMD.

Cell lengths 5.018, 5.018, 5.018 Å; angles 60.00, 60.00, 60.00 degrees
Fractional coordinates of all 4 atoms:
Nb (0.250, 0.250, 0.250)
Y (0.000, 0.000, 0.000)
Y (0.750, 0.750, 0.750)
Zn (0.500, 0.500, 0.500)

Output
formation energy = 0.310 eV/atom
space group = F-43m (216)

=====

First-principles (PBE-GGA) data for a geometry-optimized YZrNb structure, as listed in OQMD.

Cell lengths 4.821, 4.821, 4.821 Å; angles 60.00, 60.00, 60.00 degrees
Fractional coordinates of all 3 atoms:
Nb (0.000, 0.000, 0.000)
Y (0.250, 0.250, 0.250)
Zr (0.750, 0.750, 0.750)

Output
offset from the most stable computed form = 0 meV/atom
formation energy = 0.785 eV/atom
space group = F-43m (216)

=====

First-principles (PBE-GGA) data for a geometry-optimized YZrNb2 structure, as listed in OQMD.

Cell lengths 4.959, 4.959, 4.959 Å; angles 60.00, 60.00, 60.00 degrees
Fractional coordinates of all 4 atoms:
Nb (0.000, 0.000, 0.000)
Nb (0.750, 0.750, 0.750)
Y (0.250, 0.250, 0.250)
Zr (0.500, 0.500, 0.500)

Output
formation energy = 0.294 eV/atom
space group = F-43m (216)

=====

First-principles (PBE-GGA) data for a geometry-optimized NbZn structure, as listed in OQMD.

Cell lengths 3.688, 3.688, 3.688 Å; angles 60.00, 60.00, 60.00 degrees
Fractional coordinates of all 2 atoms:
Nb (0.000, 0.000, 0.000)
Zn (0.500, 0.500, 0.500)

Output
formation energy = 0.519 eV/atom
space group = Fm-3m (225)

=====

First-principles (PBE-GGA) data for a geometry-optimized NbZn structure, as listed in OQMD.

Cell lengths 10.676, 5.537, 4.463 Å; angles 90.00, 90.00, 90.00 degrees
Fractional coordinates of all 16 atoms:
Nb (0.752, 0.242, 0.000)
Nb (0.028, 0.500, 0.000)
Nb (0.522, 0.500, 0.000)
Nb (0.752, 0.758, 0.000)
Nb (0.145, 0.000, 0.500)
Nb (0.639, 0.000, 0.500)
Nb (0.915, 0.258, 0.500)
Nb (0.915, 0.742, 0.500)
Zn (0.482, 0.000, 0.000)
Zn (0.995, 0.000, 0.000)
Zn (0.263, 0.252, 0.000)
Zn (0.263, 0.748, 0.000)
Zn (0.403, 0.248, 0.500)
Zn (0.184, 0.500, 0.500)
Zn (0.672, 0.500, 0.500)
Zn (0.403, 0.752, 0.500)

Output
formation energy = 0.039 eV/atom
space group = Pmmn (59)

=====

First-principles (PBE-GGA) data for a geometry-optimized NbZn structure, as listed in OQMD.

Cell lengths 4.868, 8.655, 4.719 Å; angles 90.00, 90.00, 90.00 degrees
Fractional coordinates of all 12 atoms:
Nb (0.498, 0.174, 0.000)
Nb (0.998, 0.992, 0.000)
Nb (0.369, 0.002, 0.500)
Nb (0.869, 0.165, 0.500)
Nb (0.814, 0.498, 0.500)
Nb (0.315, 0.669, 0.500)
Zn (0.994, 0.343, 0.000)
Zn (0.493, 0.510, 0.000)
Zn (0.993, 0.657, 0.000)
Zn (0.494, 0.824, 0.000)
Zn (0.332, 0.343, 0.500)
Zn (0.832, 0.824, 0.500)

Output
formation energy = 0.076 eV/atom
space group = Pmc2_1 (26)